Entry 1:
Ba2HfTl3Te6: relaxed, PBE.

Lattice parameters (Å, degrees): 8.359 8.359 8.193 100.12 100.12 120.08
Fractional positions:
Ba: 0.166 0.834 0.000
Ba: 0.834 0.166 0.000
Hf: 0.500 0.500 0.000
Tl: 0.000 0.000 0.500
Tl: 0.336 0.664 0.500
Tl: 0.664 0.336 0.500
Te: 0.140 0.423 0.776
Te: 0.292 0.292 0.228
Te: 0.423 0.140 0.776
Te: 0.577 0.860 0.224
Te: 0.708 0.708 0.772
Te: 0.860 0.577 0.224

For the uncorrected formation energy, the calculation gives -0.872 eV/atom. The calculation puts the total moment at 0.0 μB/f.u. Its calculated volume is 464 Å³/f.u. The calculation puts the final energy at -4.184 eV per atom.

---

Entry 2:
BaY2HfTe: relaxed, PBE.

Lattice parameters (Å, degrees): 5.612 5.612 5.997 90.00 90.00 90.00
Fractional positions:
Ba: 0.000 0.000 0.000
Y: 0.000 0.500 0.000
Y: 0.500 0.000 0.000
Hf: 0.500 0.500 0.500
Te: 0.000 0.000 0.500

For the uncorrected formation energy, the calculation gives 1.359 eV/atom. The calculation puts the total moment at 0.0 μB/f.u. Its calculated volume is 189 Å³/f.u. The calculation puts the final energy at -4.230 eV per atom.

---

- The lowest final energy belongs to which entry?
  BaY2HfTe